No. 1
## CeNd2Co3 (PBE-GGA)

Data for a geometry-optimized CeNd2Co3 structure.

Results
- E_tot (eV/cell) = -74.56
- SG = Cmcm, No. 63

Lattice parameters (Å, degrees): 7.560 7.560 5.026 90.00 90.00 62.07
Fractional coordinates of all 12 atoms:
Ce 0.158 0.842 0.750
Ce 0.842 0.158 0.250
Nd 0.168 0.491 0.250
Nd 0.491 0.168 0.750
Nd 0.509 0.832 0.250
Nd 0.832 0.509 0.750
Co 0.150 0.150 0.000
Co 0.150 0.150 0.500
Co 0.500 0.500 0.000
Co 0.500 0.500 0.500
Co 0.850 0.850 0.000
Co 0.850 0.850 0.500


No. 2
## La2ScAgTe5 (PBE-GGA)

Data for a geometry-optimized La2ScAgTe5 structure.

Results
- E_tot (eV/cell) = -91.75
- E_form (uncorrected) (eV per atom) = -1.237
- SG = Cmc2_1, No. 36

Lattice parameters (Å, degrees): 9.738 9.738 13.145 90.00 90.00 153.88
Fractional coordinates of all 18 atoms:
La 0.112 0.888 0.500
La 0.126 0.874 0.119
La 0.874 0.126 0.619
La 0.888 0.112 0.000
Sc 0.190 0.810 0.823
Sc 0.810 0.190 0.323
Ag 0.429 0.571 0.266
Ag 0.571 0.429 0.766
Te 0.046 0.954 0.882
Te 0.287 0.713 0.473
Te 0.302 0.698 0.160
Te 0.351 0.649 0.812
Te 0.498 0.502 0.586
Te 0.502 0.498 0.086
Te 0.649 0.351 0.312
Te 0.698 0.302 0.660
Te 0.713 0.287 0.973
Te 0.954 0.046 0.382